Na3NbSn3Se8 | Alexandria via LeMat-Bulk | PBE | optimized geometry; total DFT energy (no corrections) = -4.3295 eV per atom; spin magnetization = 0.0 Bohr magnetons per cell; formation energy without anion corrections = -11.0 eV per formula unit; volume = 406.4 Å³/f.u.
1.0
-5.9690 3.4843 4.2675
0.9213 -8.0393 0.1219
5.7366 4.7676 4.1312
Sn Se Na Nb
3 8 3 1
Cartesian
3.3290 -1.6359 2.1266 Sn
0.3445 0.1063 4.2603 Sn
-0.1162 4.1259 4.1994 Sn
0.4506 -1.9382 2.2127 Se
3.1358 0.5517 3.9356 Se
-2.9422 3.9658 4.5285 Se
0.4259 -1.8823 6.2837 Se
3.6312 -3.7533 3.9921 Se
0.2383 2.1507 6.3080 Se
-2.4468 -0.3392 4.5851 Se
0.2630 2.0948 2.2369 Se
0.4607 -4.0197 0.0609 Na
-2.5238 -2.2775 2.1947 Na
0.0000 0.0000 0.0000 Na
2.8683 2.3838 2.0656 Nb